TaBeSb2 | PBE | relaxed

As for the uncorrected formation energy: 364 meV per atom. The total energy is -5.592 eV/atom.

POSCAR file:
```
TaBeSb2
1.0
3.609 0.000 0.000
0.000 3.609 0.000
0.000 0.000 5.945
Sb Be Ta
2 1 1
direct
0.000 0.000 0.998 Sb
0.000 0.000 0.502 Sb
0.500 0.500 0.750 Be
0.500 0.500 0.250 Ta
```